The following is a PBE-GGA calculation of a geometry-optimized CeSmTcBr structure, from the Alexandria database.

a b c (Å): 4.026 4.030 8.064
angles (deg): 89.97 104.47 119.95
Fractional coordinates of all 4 atoms:
Ce 0.084 0.942 0.039
Sm 0.495 0.145 0.655
Tc 0.329 0.560 0.907
Br 0.971 0.384 0.369

Output
Raw formation energy   -0.597 eV per atom
Spin magnetization   0.0 μB/f.u.
E_tot   -6.27 eV per atom